1.
A plane-wave DFT calculation with PBE-GGA was carried out for a relaxed Li3LaSe4O12 crystal.

Calculated values
Total energy in Ry/atom: -0.389
Raw formation energy in eV per atom: -1.086
SG: R32, No. 155

Lattice parameters (Å, degrees): 6.7909 6.7909 6.7909 105.81 105.81 105.81
Closest atoms and distances in Å follow each position.
Fractional positions:
1 Li 0.5746 0.4254 0.0000  6 O 2.13-2.33
2 Li 0.4254 0.0000 0.5746  6 O 2.13-2.33
3 Li 0.0000 0.5746 0.4254  6 O 2.13-2.33
4 La 0.0000 0.0000 0.0000  6 O 2.45
5 Se 0.8990 0.1010 0.5000  3 O 1.69-1.82
6 Se 0.1010 0.5000 0.8990  3 O 1.69-1.82
7 Se 0.5000 0.8990 0.1010  3 O 1.69-1.82
8 Se 0.5000 0.5000 0.5000  3 O 1.65
9 O 0.5000 0.3481 0.6519  1 Se 1.65
10 O 0.9453 0.5000 0.0547  1 Se 1.69
11 O 0.0547 0.9453 0.5000  1 Se 1.69
12 O 0.5000 0.0547 0.9453  1 Se 1.69
13 O 0.3383 0.0015 0.2484  1 Se 1.82
14 O 0.2484 0.3383 0.0015  1 Se 1.82
15 O 0.0015 0.2484 0.3383  1 Se 1.82
16 O 0.6617 0.7516 0.9985  1 Se 1.82
17 O 0.9985 0.6617 0.7516  1 Se 1.82
18 O 0.7516 0.9985 0.6617  1 Se 1.82
19 O 0.6519 0.5000 0.3481  1 Se 1.65
20 O 0.3481 0.6519 0.5000  1 Se 1.65



2.
A plane-wave DFT calculation with PBE-GGA was carried out for a relaxed MgRe2Mo crystal.

Calculated values
Formation energy in meV/atom: 176
Total energy in Ry/atom: -0.673
SG: Cmmm, No. 65

Lattice parameters (Å, degrees): 2.7149 2.7149 9.1477 90.00 90.00 110.41
Closest atoms and distances in Å follow each position.
Fractional positions:
1 Mg 0.5000 0.5000 0.2500  4 Mg 2.71, 4 Re 2.83
2 Mo 0.5000 0.5000 0.7500  4 Re 2.70, 4 Mo 2.71
3 Re 0.0000 0.0000 0.9911  2 Mo 2.70, 4 Re 2.71, 2 Mg 2.83
4 Re 0.0000 0.0000 0.5089  2 Mo 2.70, 4 Re 2.71, 2 Mg 2.83



3.
A plane-wave DFT calculation with PBE-GGA was carried out for a relaxed Ta2Mn2Ga crystal.

Calculated values
Formation energy in meV/atom: 35
Total energy in Ry/atom: -0.660
SG: P4/mbm, No. 127

Lattice parameters (Å, degrees): 6.1401 6.1401 3.9670 90.00 90.00 90.00
Closest atoms and distances in Å follow each position.
Fractional positions:
1 Mn 0.3821 0.8821 0.0000  1 Mn 2.05
2 Mn 0.8821 0.6179 0.0000  1 Mn 2.05
3 Mn 0.6179 0.1179 0.0000  1 Mn 2.05
4 Mn 0.1179 0.3821 0.0000  1 Mn 2.05
5 Ga 0.0000 0.0000 0.0000  4 Mn 2.46
6 Ga 0.5000 0.5000 0.0000  4 Mn 2.46
7 Ta 0.1909 0.6909 0.5000  6 Mn 2.59-2.78
8 Ta 0.6909 0.8091 0.5000  6 Mn 2.59-2.78
9 Ta 0.8091 0.3091 0.5000  6 Mn 2.59-2.78
10 Ta 0.3091 0.1909 0.5000  6 Mn 2.59-2.78



4.
A plane-wave DFT calculation with PBE-GGA was carried out for a relaxed TcHOs2Pb crystal.

Calculated values
Total energy in Ry/atom: -0.427
SG: P4/mmm, No. 123

Lattice parameters (Å, degrees): 4.6872 5.3806 4.6872 90.00 90.00 90.00
Closest atoms and distances in Å follow each position.
Fractional positions:
1 Pb 0.0000 0.5000 0.0000  2 Tc 2.69
2 H 0.5000 0.5000 0.5000  4 Pb 3.31, 8 Os 3.57
3 Os 0.0000 0.0000 0.5000  2 Tc 2.34
4 Os 0.5000 0.0000 0.0000  2 Tc 2.34
5 Tc 0.0000 0.0000 0.0000  4 Os 2.34



5.
A plane-wave DFT calculation with PBE-GGA was carried out for a relaxed TiSnI2N crystal.

Calculated values
Relative energy among the computed polymorphs in meV/atom: 870
Total energy in Ry/atom: -0.287
Raw formation energy in eV per atom: 0.759
SG: P4/mmm, No. 123

Lattice parameters (Å, degrees): 6.1142 6.1142 3.8717 90.00 90.00 90.00
Closest atoms and distances in Å follow each position.
Fractional positions:
1 I 0.0000 0.5000 0.0000  2 Sn 3.06
2 I 0.5000 0.0000 0.0000  2 Sn 3.06
3 N 0.0000 0.0000 0.5000  2 Sn 1.94
4 Sn 0.0000 0.0000 0.0000  2 N 1.94
5 Ti 0.5000 0.5000 0.5000  8 I 3.62, 2 Ti 3.87



6.
A plane-wave DFT calculation with PBE-GGA was carried out for a relaxed LiBF5 crystal.

Calculated values
Total energy in Ry/atom: -0.367
Raw formation energy in eV per atom: -2.430
SG: Pnma, No. 62

Lattice parameters (Å, degrees): 4.8793 7.0116 11.3678 90.00 90.00 90.00
Closest atoms and distances in Å follow each position.
Fractional positions:
1 Li 0.7500 0.2970 0.9314  6 F 1.98-2.04
2 Li 0.2500 0.7030 0.0686  6 F 1.98-2.04
3 Li 0.7500 0.2030 0.4314  6 F 1.98-2.04
4 Li 0.2500 0.7970 0.5686  6 F 1.98-2.04
5 B 0.7500 0.9980 0.1606  4 F 1.41
6 B 0.2500 0.0020 0.8394  4 F 1.41
7 B 0.7500 0.5020 0.6606  4 F 1.41
8 B 0.2500 0.4980 0.3394  4 F 1.41
9 F 0.7500 0.3343 0.5919  1 B 1.41
10 F 0.2500 0.6657 0.4081  1 B 1.41
11 F 0.7500 0.1657 0.0919  1 B 1.41
12 F 0.2500 0.8343 0.9081  1 B 1.41
13 F 0.7500 0.0464 0.2810  1 B 1.41
14 F 0.2500 0.9536 0.7190  1 B 1.41
15 F 0.7500 0.4536 0.7810  1 B 1.41
16 F 0.2500 0.5464 0.2190  1 B 1.41
17 F 0.4836 0.3877 0.3655  1 B 1.41
18 F 0.9836 0.6123 0.6345  1 B 1.41
19 F 0.5164 0.6123 0.6345  1 B 1.41
20 F 0.0164 0.3877 0.3655  1 B 1.41
21 F 0.5164 0.8877 0.1345  1 B 1.41
22 F 0.0164 0.1123 0.8655  1 B 1.41
23 F 0.4836 0.1123 0.8655  1 B 1.41
24 F 0.9836 0.8877 0.1345  1 B 1.41
25 F 0.5000 0.0000 0.5000  2 Li 2.03
26 F 0.0000 0.0000 0.5000  2 Li 2.03
27 F 0.5000 0.5000 0.0000  2 Li 2.03
28 F 0.0000 0.5000 0.0000  2 Li 2.03



7.
A plane-wave DFT calculation with PBE-GGA was carried out for a relaxed Dy4AgRh2 crystal.

Calculated values
Relative energy among the computed polymorphs in meV/atom: 0
Formation energy in meV/atom: -579
Total energy in Ry/atom: -0.420
SG: Fdd2, No. 43

Lattice parameters (Å, degrees): 7.7631 7.7648 7.3906 108.94 108.94 112.46
Closest atoms and distances in Å follow each position.
Fractional positions:
1 Dy 0.9735 0.2457 0.3714  2 Rh 2.72-2.82, 1 Ag 2.93
2 Dy 0.4020 0.5034 0.2632  2 Rh 2.74-2.88, 1 Ag 2.99
3 Dy 0.8740 0.6023 0.6287  2 Rh 2.72-2.82, 1 Ag 2.93
4 Dy 0.7533 0.1520 0.7632  2 Rh 2.74-2.88, 1 Ag 2.99
5 Dy 0.3890 0.9899 0.2367  2 Rh 2.74-2.88, 1 Ag 2.99
6 Dy 0.2399 0.1390 0.7367  2 Rh 2.74-2.88, 1 Ag 2.99
7 Dy 0.4957 0.7234 0.8713  2 Rh 2.72-2.82, 1 Ag 2.93
8 Dy 0.8524 0.6240 0.1287  2 Rh 2.72-2.82, 1 Ag 2.93
9 Ag 0.2578 0.7580 0.5005  6 Dy 2.93-3.20
10 Ag 0.0081 0.0079 0.0004  6 Dy 2.93-3.20
11 Rh 0.4994 0.3669 0.6140  4 Dy 2.72-2.88
12 Rh 0.7527 0.8852 0.3854  4 Dy 2.72-2.88
13 Rh 0.6171 0.2496 0.1143  4 Dy 2.72-2.88
14 Rh 0.1351 0.5027 0.8854  4 Dy 2.72-2.88



8.
A plane-wave DFT calculation with PBE-GGA was carried out for a relaxed SrCeP2Pt2 crystal.

Calculated values
Formation energy in meV/atom: -1236
Total energy in Ry/atom: -0.465
SG: P-3m1, No. 164

Lattice parameters (Å, degrees): 4.1911 4.1911 8.3384 90.00 90.00 120.00
Closest atoms and distances in Å follow each position.
Fractional positions:
1 Sr 0.0000 0.0000 0.5000  6 Pt 3.28, 6 P 3.30
2 Ce 0.0000 0.0000 0.0000  6 P 3.09, 6 Pt 3.11
3 P 0.6667 0.3333 0.7694  3 Pt 2.42
4 P 0.3333 0.6667 0.2306  3 Pt 2.42
5 Pt 0.6667 0.3333 0.2346  3 P 2.42
6 Pt 0.3333 0.6667 0.7654  3 P 2.42



9.
A plane-wave DFT calculation with PBE-GGA was carried out for a relaxed Pa2TcAu crystal.

Calculated values
Relative energy among the computed polymorphs in meV/atom: 131
Formation energy in meV/atom: -117
Total energy in Ry/atom: -0.608
SG: Fm-3m, No. 225

Lattice parameters (Å, degrees): 4.9734 4.9734 4.9734 60.00 60.00 60.00
Closest atoms and distances in Å follow each position.
Fractional positions:
1 Pa 0.2500 0.2500 0.2500  4 Tc 3.05, 4 Au 3.05
2 Pa 0.7500 0.7500 0.7500  4 Au 3.05, 4 Tc 3.05
3 Au 0.5000 0.5000 0.5000  8 Pa 3.05
4 Tc 0.0000 0.0000 0.0000  8 Pa 3.05



10.
A plane-wave DFT calculation with PBE-GGA was carried out for a relaxed Ga2HgTe crystal.

Calculated values
Relative energy among the computed polymorphs in meV/atom: 65
Total energy in Ry/atom: -0.174
Raw formation energy in eV per atom: 0.012
SG: P4/mmm, No. 123

Lattice parameters (Å, degrees): 3.6790 3.6790 7.4629 90.00 90.00 90.00
Closest atoms and distances in Å follow each position.
Fractional positions:
1 Te 0.5000 0.5000 0.0000  8 Ga 3.14
2 Hg 0.5000 0.5000 0.5000  8 Ga 3.26
3 Ga 0.0000 0.0000 0.7638  4 Te 3.14, 4 Hg 3.26
4 Ga 0.0000 0.0000 0.2362  4 Te 3.14, 4 Hg 3.26